The following is a DFT calculation (PBEsol) of an optimized crystal structure of SrNbCd3.

abc: 5.6576 5.6576 5.6576
angles: 90.00 90.00 90.00
With the nearest neighbours (Å) after each atom.
Space group Pm-3m (No. 221)
Asymmetric unit:
Sr 0.0000 0.0000 0.0000  6 Cd 2.83
Nb 0.5000 0.5000 0.5000  12 Cd 4.00
Cd 0.0000 0.0000 0.5000  2 Sr 2.83

formation energy from the elements	1.667	eV/atom
DOS at the Fermi energy	8.23	states/eV per cell